1.
## Mg3GaPt4 (PBE)

Data for an optimized crystal structure of Mg3GaPt4.

Results
crystal system: tetragonal
ΔE_f: -840 meV per atom
symmetry: I4/mmm (139)

Unit cell a=7.7303 b=7.7303 c=7.7303 alpha=148.63 beta=148.63 gamma=44.95
Atoms (fractional coordinates):
Mg1 0.0000 0.0000 0.0000
Mg2 0.2492 0.2492 0.0000
Mg3 0.7508 0.7508 0.0000
Ga1 0.5000 0.5000 0.0000
Pt1 0.1207 0.6207 0.5000
Pt2 0.3793 0.8793 0.5000
Pt3 0.6207 0.1207 0.5000
Pt4 0.8793 0.3793 0.5000

---

2.
## KTcSn2Te (PBE)

Data for an optimized crystal structure of KTcSn2Te.

Results
crystal system: tetragonal
formation energy (no corrections): 1.223 eV per atom
symmetry: P4/mmm (123)

Unit cell a=5.9131 b=5.9131 c=6.0247 alpha=90.00 beta=90.00 gamma=90.00
Atoms (fractional coordinates):
K1 0.0000 0.0000 0.0000
Tc1 0.5000 0.5000 0.0000
Sn1 0.0000 0.5000 0.5000
Sn2 0.5000 0.0000 0.5000
Te1 0.0000 0.0000 0.5000

---

3.
## CdGaC2 (PBE)

Data for an optimized crystal structure of CdGaC2.

Results
crystal system: cubic
energy above the most stable polymorph in this dataset: 587.4 meV/atom
ΔE_f: 2110 meV per atom
symmetry: Fm-3m (225)

Unit cell a=4.1608 b=4.1608 c=4.1608 alpha=60.00 beta=60.00 gamma=60.00
Atoms (fractional coordinates):
Cd1 0.0000 0.0000 0.0000
Ga1 0.5000 0.5000 0.5000
C1 0.2500 0.2500 0.2500
C2 0.7500 0.7500 0.7500

---

| no. | N(E_F) (states/eV/cell) |
| --- | --- |
| 1 | 2.11 |
| 2 | 5.76 |
| 3 | 1.54 |